Compound: LiGeS2N
Source: Alexandria
Functional: PBE-GGA
Structure: optimized geometry

a b c (Å): 4.5375 3.9795 4.5375
angles (deg): 90.00 90.00 90.00
Closest atoms and distances in Å follow each position.
Sites, in units of the cell vectors:
S1 0.5000 0.0000 0.0000  2 N 2.27
S2 0.0000 0.0000 0.5000  2 N 2.27
Ge1 0.0000 0.5000 0.0000  2 N 1.99
N1 0.0000 0.0000 0.0000  2 Ge 1.99
Li1 0.5000 0.5000 0.5000  8 S 3.02, 4 Ge 3.21

Output
- ΔE_f (raw) (eV/f.u.) = 2.80
- SG = P4/mmm, No. 123
- excess energy over the best structure of this formula in the dataset (meV/atom) = 164



Compound: LiGeSN2
Source: Alexandria
Functional: PBE-GGA
Structure: optimized geometry

a b c (Å): 3.8073 3.8073 5.0094
angles (deg): 90.00 90.00 90.00
Closest atoms and distances in Å follow each position.
Sites, in units of the cell vectors:
N1 0.5000 0.0000 0.0000  2 Ge 1.90
N2 0.0000 0.5000 0.0000  2 Ge 1.90
Ge1 0.0000 0.0000 0.0000  4 N 1.90
S1 0.0000 0.0000 0.5000  2 Ge 2.50, 4 Li 2.69
Li1 0.5000 0.5000 0.5000  4 S 2.69

Output
- ΔE_f (raw) (eV/f.u.) = 3.91
- SG = P4/mmm, No. 123
- excess energy over the best structure of this formula in the dataset (meV/atom) = 0



Compound: LiGeS2N
Source: Alexandria
Functional: PBE-GGA
Structure: optimized geometry

a b c (Å): 4.8747 4.8747 3.7235
angles (deg): 90.00 90.00 90.00
Closest atoms and distances in Å follow each position.
Sites, in units of the cell vectors:
S1 0.0000 0.5000 0.0000  2 Ge 2.44
S2 0.5000 0.0000 0.0000  2 Ge 2.44
N1 0.0000 0.0000 0.5000  2 Ge 1.86
Ge1 0.0000 0.0000 0.0000  2 N 1.86
Li1 0.5000 0.5000 0.5000  8 S 3.07

Output
- ΔE_f (raw) (eV/f.u.) = 1.98
- SG = P4/mmm, No. 123
- excess energy over the best structure of this formula in the dataset (meV/atom) = 0



Compound: LiGeSN2
Source: Alexandria
Functional: PBE-GGA
Structure: optimized geometry

a b c (Å): 3.7834 3.7834 4.8865
angles (deg): 90.00 90.00 90.00
Closest atoms and distances in Å follow each position.
Sites, in units of the cell vectors:
N1 0.5000 0.0000 0.0000  2 Li 1.89
N2 0.0000 0.5000 0.0000  2 Li 1.89
S1 0.0000 0.0000 0.5000  2 Li 2.44, 4 Ge 2.68
Li1 0.0000 0.0000 0.0000  4 N 1.89
Ge1 0.5000 0.5000 0.5000  4 S 2.68

Output
- ΔE_f (raw) (eV/f.u.) = 7.64
- SG = P4/mmm, No. 123
- excess energy over the best structure of this formula in the dataset (meV/atom) = 746



Compound: LiGeS2N
Source: Alexandria
Functional: PBE-GGA
Structure: optimized geometry

a b c (Å): 4.6017 4.6017 3.5993
angles (deg): 90.00 90.00 90.00
Closest atoms and distances in Å follow each position.
Sites, in units of the cell vectors:
Ge1 0.5000 0.5000 0.5000  8 S 2.92, 4 N 3.25
Li1 0.0000 0.0000 0.0000  2 N 1.80
S1 0.0000 0.5000 0.0000  2 Li 2.30
S2 0.5000 0.0000 0.0000  2 Li 2.30
N1 0.0000 0.0000 0.5000  2 Li 1.80

Output
- ΔE_f (raw) (eV/f.u.) = 4.71
- SG = P4/mmm, No. 123
- excess energy over the best structure of this formula in the dataset (meV/atom) = 546



Compound: LiSc2GeN
Source: Alexandria
Functional: PBE-GGA
Structure: optimized geometry

a b c (Å): 4.3669 4.3669 3.9997
angles (deg): 90.00 90.00 90.00
Closest atoms and distances in Å follow each position.
Sites, in units of the cell vectors:
Sc1 0.5000 0.0000 0.0000  2 N 2.18
Sc2 0.0000 0.5000 0.0000  2 N 2.18
Ge1 0.5000 0.5000 0.5000  8 Sc 2.96, 4 Li 3.09
N1 0.0000 0.0000 0.0000  2 Li 2.00, 4 Sc 2.18
Li1 0.0000 0.0000 0.5000  2 N 2.00

Output
- ΔE_f (raw) (eV/f.u.) = -5.49
- SG = P4/mmm, No. 123



Compound: LiGeSe2N
Source: Alexandria
Functional: PBE-GGA
Structure: optimized geometry

a b c (Å): 4.8977 4.8977 3.6427
angles (deg): 90.00 90.00 90.00
Closest atoms and distances in Å follow each position.
Sites, in units of the cell vectors:
Se1 0.5000 0.0000 0.0000  2 Li 2.45
Se2 0.0000 0.5000 0.0000  2 Li 2.45
Ge1 0.5000 0.5000 0.5000  8 Se 3.05
Li1 0.0000 0.0000 0.0000  2 N 1.82
N1 0.0000 0.0000 0.5000  2 Li 1.82

Output
- ΔE_f (raw) (eV/f.u.) = 4.13
- SG = P4/mmm, No. 123
- excess energy over the best structure of this formula in the dataset (meV/atom) = 478



Compound: LiGeSeN2
Source: Alexandria
Functional: PBE-GGA
Structure: optimized geometry

a b c (Å): 3.7990 3.7990 5.4017
angles (deg): 90.00 90.00 90.00
Closest atoms and distances in Å follow each position.
Sites, in units of the cell vectors:
Li1 0.5000 0.5000 0.5000  4 Se 2.69
Se1 0.0000 0.0000 0.5000  4 Li 2.69, 2 Ge 2.70
Ge1 0.0000 0.0000 0.0000  4 N 1.90
N1 0.0000 0.5000 0.0000  2 Ge 1.90
N2 0.5000 0.0000 0.0000  2 Ge 1.90

Output
- ΔE_f (raw) (eV/f.u.) = 4.01
- SG = P4/mmm, No. 123
- excess energy over the best structure of this formula in the dataset (meV/atom) = 0



Compound: LiGeSeN2
Source: Alexandria
Functional: PBE-GGA
Structure: optimized geometry

a b c (Å): 3.9945 3.9945 4.9591
angles (deg): 90.00 90.00 90.00
Closest atoms and distances in Å follow each position.
Sites, in units of the cell vectors:
N1 0.0000 0.5000 0.0000  2 Li 2.00
N2 0.5000 0.0000 0.0000  2 Li 2.00
Ge1 0.5000 0.5000 0.5000  4 Se 2.82
Li1 0.0000 0.0000 0.0000  4 N 2.00
Se1 0.0000 0.0000 0.5000  2 Li 2.48

Output
- ΔE_f (raw) (eV/f.u.) = 7.60
- SG = P4/mmm, No. 123
- excess energy over the best structure of this formula in the dataset (meV/atom) = 717



Compound: LiGeSe2N
Source: Alexandria
Functional: PBE-GGA
Structure: optimized geometry

a b c (Å): 5.4167 5.4167 3.4445
angles (deg): 90.00 90.00 90.00
Closest atoms and distances in Å follow each position.
Sites, in units of the cell vectors:
Li1 0.5000 0.5000 0.5000  8 Se 3.21, 2 Li 3.44
Se1 0.0000 0.5000 0.0000  2 Ge 2.71
Se2 0.5000 0.0000 0.0000  2 Ge 2.71
N1 0.0000 0.0000 0.5000  2 Ge 1.72
Ge1 0.0000 0.0000 0.0000  2 N 1.72

Output
- ΔE_f (raw) (eV/f.u.) = 1.74
- SG = P4/mmm, No. 123
- excess energy over the best structure of this formula in the dataset (meV/atom) = 0



Compound: LiSi2GeN4
Source: Alexandria
Functional: PBE-GGA
Structure: optimized geometry

a b c (Å): 4.2581 4.2581 5.3941
angles (deg): 113.24 113.24 90.01
Closest atoms and distances in Å follow each position.
Sites, in units of the cell vectors:
Si1 0.7500 0.2500 0.5001  4 N 1.79
Si2 0.2500 0.7500 0.5001  4 N 1.79
N1 0.1161 0.1161 0.7180  2 Si 1.79, 1 Ge 1.93, 1 Li 2.00
N2 0.3982 0.8840 0.2821  2 Si 1.79, 1 Ge 1.93, 1 Li 2.00
N3 0.8840 0.3982 0.2821  2 Si 1.79, 1 Ge 1.93, 1 Li 2.00
N4 0.6019 0.6019 0.7180  2 Si 1.79, 1 Ge 1.93, 1 Li 2.00
Li1 0.0000 0.0000 0.0001  4 N 2.00
Ge1 0.5000 0.5000 0.0001  4 N 1.93

Output
- ΔE_f (raw) (eV/f.u.) = -4.23
- SG = I-42m, No. 121



Compound: LiSiGe2N4
Source: Alexandria
Functional: PBE-GGA
Structure: optimized geometry

a b c (Å): 4.6730 4.6730 5.1587
angles (deg): 114.33 114.33 95.19
Closest atoms and distances in Å follow each position.
Sites, in units of the cell vectors:
Si1 0.4993 0.4993 0.9986  4 N 1.76-1.78
Ge1 0.2586 0.7586 0.5172  4 N 1.96
Ge2 0.7586 0.2586 0.5172  4 N 1.96
N1 0.1466 0.1466 0.7417  1 Si 1.76, 2 Ge 1.96
N2 0.8344 0.4043 0.2387  1 Si 1.78, 2 Ge 1.96
N3 0.5952 0.5952 0.7417  1 Si 1.76, 2 Ge 1.96
N4 0.4043 0.8344 0.2387  1 Si 1.78, 2 Ge 1.96
Li1 0.0033 0.0033 0.0066  4 N 2.05-2.18

Output
- ΔE_f (raw) (eV/f.u.) = -2.83
- SG = Fmm2, No. 42



Compound: SrLiGeN
Source: Alexandria
Functional: PBE-GGA
Structure: optimized geometry

a b c (Å): 3.7949 3.7949 5.7972
angles (deg): 109.11 109.11 90.00
Closest atoms and distances in Å follow each position.
Sites, in units of the cell vectors:
Ge1 0.4174 0.4174 0.8348  1 N 1.85
Li1 0.0477 0.0477 0.0953  1 N 1.95
Sr1 0.7275 0.7275 0.4550  4 N 2.69
N1 0.2378 0.2378 0.4756  1 Ge 1.85, 1 Li 1.95

Output
- ΔE_f (raw) (eV/f.u.) = -2.13
- SG = I4mm, No. 107



Compound: Sr2LiGeN
Source: Alexandria
Functional: PBE-GGA
Structure: optimized geometry

a b c (Å): 5.3347 5.3347 3.9907
angles (deg): 90.00 90.00 90.00
Closest atoms and distances in Å follow each position.
Sites, in units of the cell vectors:
Ge1 0.5000 0.5000 0.5000  8 Sr 3.33
N1 0.0000 0.0000 0.0000  2 Li 2.00
Sr1 0.0000 0.5000 0.0000  2 N 2.67
Sr2 0.5000 0.0000 0.0000  2 N 2.67
Li1 0.0000 0.0000 0.5000  2 N 2.00

Output
- ΔE_f (raw) (eV/f.u.) = -1.93
- SG = P4/mmm, No. 123



Compound: LiTa2GeN
Source: Alexandria
Functional: PBE-GGA
Structure: optimized geometry

a b c (Å): 4.2343 4.2343 3.8429
angles (deg): 90.00 90.00 90.00
Closest atoms and distances in Å follow each position.
Sites, in units of the cell vectors:
Li1 0.0000 0.0000 0.5000  2 N 1.92
Ge1 0.5000 0.5000 0.5000  8 Ta 2.86, 4 Li 2.99
Ta1 0.0000 0.5000 0.0000  2 N 2.12
Ta2 0.5000 0.0000 0.0000  2 N 2.12
N1 0.0000 0.0000 0.0000  2 Li 1.92, 4 Ta 2.12

Output
- ΔE_f (raw) (eV/f.u.) = -2.27
- SG = P4/mmm, No. 123



Compound: Li2TaGeN4
Source: Alexandria
Functional: PBE-GGA
Structure: optimized geometry

a b c (Å): 6.1667 6.1667 6.1450
angles (deg): 119.88 119.88 92.21
Closest atoms and distances in Å follow each position.
Sites, in units of the cell vectors:
N1 0.2391 0.2609 0.4679  2 Ge 2.00, 1 Ta 2.13
N2 0.7608 0.7391 0.9679  2 Ge 2.00, 1 Ta 2.13
N3 0.2347 0.7370 0.9859  2 Ta 2.08, 3 Li 2.20-2.23, 1 Ge 2.21
N4 0.2370 0.7347 0.4859  2 Ta 2.08, 3 Li 2.20-2.23, 1 Ge 2.21
N5 0.7609 0.7392 0.5321  2 Ge 2.00, 1 Ta 2.13
N6 0.2391 0.2609 0.0321  2 Ge 2.00, 1 Ta 2.13
N7 0.7630 0.2653 0.5141  2 Ta 2.08, 3 Li 2.20-2.23, 1 Ge 2.21
N8 0.7653 0.2630 0.0141  2 Ta 2.08, 3 Li 2.20-2.23, 1 Ge 2.21
Li1 0.5000 0.5000 0.0000  6 N 2.23-2.29
Li2 0.0000 0.0000 0.5000  6 N 2.23-2.29
Li3 0.5000 0.0000 0.5000  6 N 2.20-2.33
Li4 0.5000 0.0000 0.0000  6 N 2.20-2.33
Ge1 0.0000 0.0000 0.0000  6 N 2.00-2.21
Ge2 0.5000 0.5000 0.5000  6 N 2.00-2.21
Ta1 0.0000 0.5000 0.0000  6 N 2.08-2.13
Ta2 0.0000 0.5000 0.5000  6 N 2.08-2.13

Output
- ΔE_f (raw) (eV/f.u.) = -3.10
- SG = Imma, No. 74



Compound: Li2TcGeN4
Source: Alexandria
Functional: PBE-GGA
Structure: optimized geometry

a b c (Å): 4.7373 4.7374 5.4905
angles (deg): 115.56 115.56 90.00
Closest atoms and distances in Å follow each position.
Sites, in units of the cell vectors:
N1 0.3664 0.8152 0.2231  1 Tc 1.86, 1 Ge 1.89
N2 0.0639 0.1054 0.7205  1 Tc 1.86, 1 Ge 1.89
N3 0.6565 0.6151 0.7205  1 Tc 1.86, 1 Ge 1.89
N4 0.8567 0.4078 0.2230  1 Tc 1.86, 1 Ge 1.89
Ge1 0.9859 0.4859 0.9718  4 N 1.89
Li1 0.2359 0.2359 0.4718  4 N 2.14
Li2 0.4859 0.9859 0.9718  4 N 2.12
Tc1 0.7359 0.7359 0.4718  4 N 1.86

Output
- ΔE_f (raw) (eV/f.u.) = -1.77
- SG = I-4, No. 82



Compound: Li2ThGeN4
Source: Alexandria
Functional: PBE-GGA
Structure: optimized geometry

a b c (Å): 5.4040 5.0236 5.0236
angles (deg): 80.94 57.46 57.46
Closest atoms and distances in Å follow each position.
Sites, in units of the cell vectors:
Li1 0.5000 0.2501 0.7499  4 N 2.03
Li2 0.5000 0.7499 0.2501  4 N 2.03
N1 0.0001 0.4526 0.1375  1 Ge 1.87, 2 Li 2.03
N2 0.4098 0.1375 0.4526  1 Ge 1.87, 2 Li 2.03
N3 0.5902 0.5474 0.8625  1 Ge 1.87, 2 Li 2.03
N4 0.9999 0.8625 0.5474  1 Ge 1.87, 2 Li 2.03
Ge1 0.0000 0.5000 0.5000  4 N 1.87
Th1 0.0000 0.0000 0.0000  8 N 2.48-2.73

Output
- ΔE_f (raw) (eV/f.u.) = -3.24
- SG = I-42m, No. 121



Compound: LiThGeN3
Source: Alexandria
Functional: PBE-GGA
Structure: optimized geometry

a b c (Å): 3.5068 5.9900 7.8713
angles (deg): 64.34 90.00 90.00
Closest atoms and distances in Å follow each position.
Sites, in units of the cell vectors:
N1 0.2500 0.8469 0.4780  3 Ge 2.01-2.13
N2 0.7500 0.2830 0.1225  1 Ge 1.95
N3 0.2500 0.2290 0.7976  1 Ge 1.94, 1 Li 1.97
N4 0.7500 0.1531 0.5220  3 Ge 2.01-2.13
N5 0.2500 0.7170 0.8775  1 Ge 1.95
N6 0.7500 0.7710 0.2024  1 Ge 1.94, 1 Li 1.97
Th1 0.2500 0.4973 0.2271  5 N 2.35-2.51
Th2 0.7500 0.5027 0.7729  5 N 2.35-2.51
Li1 0.7500 0.9201 0.9254  1 N 1.97
Li2 0.2500 0.0799 0.0746  1 N 1.97
Ge1 0.2500 0.0343 0.6548  5 N 1.94-2.13
Ge2 0.7500 0.9657 0.3452  5 N 1.94-2.13

Output
- ΔE_f (raw) (eV/f.u.) = -4.08
- SG = P2_1/m, No. 11



Compound: LiTiGe2N4
Source: Alexandria
Functional: PBE-GGA
Structure: optimized geometry

a b c (Å): 4.4409 4.4409 5.7140
angles (deg): 112.77 112.77 90.23
Closest atoms and distances in Å follow each position.
Sites, in units of the cell vectors:
Ge1 0.7503 0.2503 0.5006  4 N 1.92
Ge2 0.2503 0.7503 0.5006  4 N 1.92
Li1 0.0003 0.0003 0.0006  4 N 2.08
Ti1 0.4998 0.4998 0.9995  4 N 1.98-1.99
N1 0.1249 0.1249 0.7301  2 Ge 1.92, 1 Ti 1.98, 1 Li 2.08
N2 0.3949 0.8746 0.2695  2 Ge 1.92, 1 Ti 1.99, 1 Li 2.08
N3 0.6053 0.6053 0.7301  2 Ge 1.92, 1 Ti 1.98, 1 Li 2.08
N4 0.8746 0.3949 0.2695  2 Ge 1.92, 1 Ti 1.99, 1 Li 2.08

Output
- ΔE_f (raw) (eV/f.u.) = -3.68
- SG = Fmm2, No. 42